A relaxed SrCaCrP2O8 crystal, computed with GGA+U.

Cell: 5.9089 6.9148 9.4249 Å, 108.73 102.68 98.52°
Closest atoms and distances in Å follow each position.
Fractional positions:
Sr 0.2155 0.1921 0.4338  6 O 2.53-2.83
Sr 0.7845 0.8079 0.5662  6 O 2.53-2.83
Ca 0.4820 0.5760 0.8318  6 O 2.32-2.42
Ca 0.5180 0.4240 0.1682  6 O 2.32-2.42
Cr 0.1492 0.8432 0.0457  4 O 2.04-2.12
Cr 0.8508 0.1568 0.9543  4 O 2.04-2.12
P 0.1250 0.5872 0.2758  4 O 1.54-1.57
P 0.3398 0.0308 0.7937  4 O 1.53-1.59
P 0.6602 0.9692 0.2063  4 O 1.53-1.59
P 0.8750 0.4128 0.7242  4 O 1.54-1.57
O 0.0945 0.4556 0.6654  1 P 1.54
O 0.1033 0.4142 0.1136  1 P 1.57
O 0.1408 0.9372 0.8555  1 P 1.57
O 0.1533 0.8019 0.2547  1 P 1.55
O 0.2318 0.0011 0.6232  1 P 1.53
O 0.3593 0.5735 0.3840  1 P 1.56
O 0.4529 0.0898 0.1899  1 P 1.59
O 0.4540 0.2663 0.9004  1 P 1.56
O 0.5460 0.7337 0.0996  1 P 1.56
O 0.5471 0.9102 0.8101  1 P 1.59
O 0.6407 0.4265 0.6160  1 P 1.56
O 0.7682 0.9989 0.3768  1 P 1.53
O 0.8467 0.1981 0.7453  1 P 1.55
O 0.8592 0.0628 0.1445  1 P 1.57
O 0.8967 0.5858 0.8864  1 P 1.57
O 0.9055 0.5444 0.3346  1 P 1.54

* uncorrected energy: -191.328 eV per cell
* magnetic moment: 8.0 Bohr magnetons per cell
* mass density: 3.6 g/cm3
* DOS(E_F): 0.0000 states/eV per atom